Entry 1:
Below is a PBEsol-optimized structure of LaZn2Ir2, with properties calculated at the meta-GGA SCAN level.

Calculated formation energy: -2.9 eV per formula unit
Crystal system: tetragonal
Calculated total energy: -43.042 eV per atom
Density: 11.72 g/cm³

Cell and atoms, written as POSCAR:
```
LaZn2Ir2
1.0
-3.913 1.225 -0.519
-1.330 -3.569 1.604
2.658 3.386 4.412
Ir La Zn
2 1 2
direct
0.613 0.613 0.226
0.387 0.387 0.774
0.000 0.000 0.000
0.250 0.750 0.500
0.750 0.250 0.500
```


Entry 2:
Below is a PBEsol-optimized structure of LaZn2Ir, with properties calculated at the meta-GGA SCAN level.

Calculated formation energy: 0.3 eV per formula unit
Crystal system: monoclinic
Calculated total energy: -35.226 eV per atom
Density: 10.42 g/cm³

Cell and atoms, written as POSCAR:
```
LaZn2Ir
1.0
2.994 -0.068 0.000
-1.532 5.229 0.000
-0.731 -2.581 4.734
Ir Zn La
1 2 1
direct
0.500 0.000 0.000
0.000 0.000 0.500
0.500 0.500 0.500
0.000 0.500 0.000
```


Entry 3:
Below is a PBEsol-optimized structure of La2ZnIr, with properties calculated at the meta-GGA SCAN level.

Calculated formation energy: -2.3 eV per formula unit
Crystal system: tetragonal
Calculated total energy: -43.272 eV per atom
Density: 9.36 g/cm³

Cell and atoms, written as POSCAR:
```
La2ZnIr
1.0
3.629 0.000 0.000
0.000 3.629 0.000
0.000 0.000 7.212
Ir La Zn
1 2 1
direct
0.500 0.500 0.500
0.000 0.000 0.731
0.000 0.000 0.269
0.500 0.500 0.000
```


- Among the records above, which one has the lowest calculated formation energy?
  LaZn2Ir2


- Which formula does entry 1 have?
  LaZn2Ir2


- The lowest calculated formation energy belongs to which entry?
  LaZn2Ir2